{
  "formula": "La2Tm4Th",
  "functional": "PBE-GGA",
  "state": "optimized geometry",
  "cell": [[5.6798, 0.0000, 0.0000], [0.0000, 5.6798, 0.0000], [-2.8399, -2.8399, 8.5827]],
  "species": ["La", "La", "Tm", "Tm", "Tm", "Tm", "Th"],
  "frac_coords": [[0.6203, 0.6203, 0.2406], [0.3797, 0.3797, 0.7594], [0.8229, 0.8229, 0.6459], [0.1771, 0.1771, 0.3541], [0.0000, 0.5000, 0.0000], [0.5000, 0.0000, 0.0000], [0.0000, 0.0000, 0.0000]],
  "total_energy_ev_per_atom": -4.2883
}